DFT (GGA-PBE) results for a relaxed structure of CaLa3Tc. Values from VASP.

Structure (Quantum ESPRESSO input):
```
&SYSTEM
  ibrav = 0, nat = 5, ntyp = 3
/
ATOMIC_SPECIES
La 138.91 La.upf
Ca 40.08 Ca.upf
Tc 98.00 Tc.upf
CELL_PARAMETERS angstrom
4.436 0.000 0.000
0.000 4.436 0.000
0.000 0.000 9.922
ATOMIC_POSITIONS crystal
La 0.000 0.500 0.421
La 0.000 0.000 0.702
La 0.500 0.000 0.421
Ca 0.000 0.000 0.096
Tc 0.500 0.500 0.624
```

Density   4720 kg/m3
ΔH_f (0 K)   0.436 eV per atom
SG   P4mm, No. 99
ΔE to the lowest computed polymorph   0.452 eV/atom
DOS at the Fermi energy   5.118 states/eV/cell